1.
The following is a PBE calculation of LiThNi2H8 after structural relaxation, from Alexandria via LeMat-Bulk.

Calculated values
- SG: R-3 (148)

Cell lengths 4.340, 4.340, 6.477 Å; angles 70.43, 70.43, 60.00 degrees
Sites, in units of the cell vectors:
Ni 0.672 0.672 0.985
Ni 0.328 0.328 0.015
H 0.066 0.439 0.840
H 0.439 0.655 0.840
H 0.151 0.151 0.546
H 0.934 0.561 0.160
H 0.345 0.934 0.160
H 0.561 0.345 0.160
H 0.849 0.849 0.454
H 0.655 0.066 0.840
Th 0.500 0.500 0.500
Li 0.000 0.000 0.000

---

2.
The following is a PBE calculation of LiThNiH6 after structural relaxation, from Alexandria via LeMat-Bulk.

Calculated values
- SG: P-6m2 (187)

Cell lengths 4.410, 4.410, 4.324 Å; angles 90.00, 90.00, 60.00 degrees
Sites, in units of the cell vectors:
Li 0.667 0.667 0.500
H 0.020 0.490 0.767
H 0.490 0.490 0.767
H 0.020 0.490 0.233
H 0.490 0.020 0.767
H 0.490 0.490 0.233
H 0.490 0.020 0.233
Th 0.000 0.000 0.000
Ni 0.333 0.333 0.500

---

3.
The following is a PBE calculation of LiTi2NiH after structural relaxation, from Alexandria via LeMat-Bulk.

Calculated values
- SG: P4/mmm (123)

Cell lengths 4.067, 4.067, 3.502 Å; angles 90.00, 90.00, 90.00 degrees
Sites, in units of the cell vectors:
Ni 0.500 0.500 0.500
H 0.000 0.000 0.000
Ti 0.000 0.500 0.000
Ti 0.500 0.000 0.000
Li 0.000 0.000 0.500

---

4.
The following is a PBE calculation of LiTlNi2H after structural relaxation, from Alexandria via LeMat-Bulk.

Calculated values
- SG: P4/mmm (123)

Cell lengths 3.768, 3.768, 4.020 Å; angles 90.00, 90.00, 90.00 degrees
Sites, in units of the cell vectors:
H 0.000 0.000 0.000
Ni 0.500 0.000 0.000
Ni 0.000 0.500 0.000
Li 0.000 0.000 0.500
Tl 0.500 0.500 0.500

---

5.
The following is a PBE calculation of LiY2NiH after structural relaxation, from Alexandria via LeMat-Bulk.

Calculated values
- SG: P4/mmm (123)

Cell lengths 4.936, 4.936, 3.583 Å; angles 90.00, 90.00, 90.00 degrees
Sites, in units of the cell vectors:
H 0.000 0.000 0.000
Li 0.500 0.500 0.500
Y 0.000 0.500 0.000
Y 0.500 0.000 0.000
Ni 0.000 0.000 0.500

---

6.
The following is a PBE calculation of LiY2NiH after structural relaxation, from Alexandria via LeMat-Bulk.

Calculated values
- SG: P4/mmm (123)

Cell lengths 4.860, 4.860, 3.593 Å; angles 90.00, 90.00, 90.00 degrees
Sites, in units of the cell vectors:
Ni 0.500 0.500 0.500
Li 0.000 0.000 0.500
H 0.000 0.000 0.000
Y 0.500 0.000 0.000
Y 0.000 0.500 0.000

---

| no. | electronic total energy (eV/atom) |
| --- | --- |
| 1 | -4.264 |
| 2 | -4.232 |
| 3 | -5.506 |
| 4 | -3.919 |
| 5 | -5.020 |
| 6 | -5.086 |